(1)
{"formula": "NaYbCu2F8", "functional": "PBE-GGA", "state": "optimized geometry", "space_group": "No. 97", "raw_formation_energy_ev_per_fu": -29.09, "cell": [[-2.734, 2.734, 5.150], [2.734, -2.734, 5.150], [2.734, 2.734, -5.150]], "species": ["Na", "Yb", "Cu", "Cu", "F", "F", "F", "F", "F", "F", "F", "F"], "fractional_positions": [[0.000, 0.000, 0.000], [0.500, 0.500, 0.000], [0.250, 0.750, 0.500], [0.750, 0.250, 0.500], [0.062, 0.544, 0.851], [0.211, 0.062, 0.518], [0.307, 0.456, 0.518], [0.456, 0.938, 0.149], [0.544, 0.693, 0.482], [0.693, 0.211, 0.149], [0.789, 0.307, 0.851], [0.938, 0.789, 0.482]]}



(2)
{"formula": "YSiOs", "functional": "PBE-GGA", "state": "optimized geometry", "space_group": "No. 187", "raw_formation_energy_ev_per_fu": -1.53, "cell": [[4.109, 0.000, 0.000], [-2.055, 3.559, 0.000], [0.000, 0.000, 4.066]], "species": ["Y", "Si", "Os"], "fractional_positions": [[0.000, 0.000, 0.000], [0.333, 0.667, 0.500], [0.667, 0.333, 0.500]]}



(3)
{"formula": "EuErIrPt", "functional": "PBE-GGA", "state": "optimized geometry", "space_group": "No. 216", "ef_ev_per_atom": -0.7759, "cell": [[0.000, 3.482, 3.482], [3.482, 0.000, 3.482], [3.482, 3.482, 0.000]], "species": ["Eu", "Er", "Ir", "Pt"], "fractional_positions": [[0.000, 0.000, 0.000], [0.500, 0.500, 0.500], [0.250, 0.250, 0.250], [0.750, 0.750, 0.750]]}



(4)
{"formula": "Dy2GaTe", "functional": "PBE-GGA", "state": "optimized geometry", "space_group": "No. 63", "polymorph_energy_mev_per_atom": 0.0, "raw_formation_energy_ev_per_fu": -4.04, "cell": [[2.186, -11.675, 0.000], [2.186, 11.675, 0.000], [0.000, 0.000, 4.152]], "species": ["Dy", "Dy", "Dy", "Dy", "Ga", "Ga", "Te", "Te"], "fractional_positions": [[0.062, 0.938, 0.750], [0.334, 0.666, 0.750], [0.666, 0.334, 0.250], [0.938, 0.062, 0.250], [0.462, 0.538, 0.750], [0.538, 0.462, 0.250], [0.195, 0.805, 0.750], [0.805, 0.195, 0.250]]}



(5)
{"formula": "TbGe4Bi", "functional": "PBE-GGA", "state": "optimized geometry", "space_group": "No. 216", "ef_ev_per_atom": -0.1197, "cell": [[0.000, 4.036, 4.036], [4.036, 0.000, 4.036], [4.036, 4.036, 0.000]], "species": ["Tb", "Ge", "Ge", "Ge", "Ge", "Bi"], "fractional_positions": [[0.000, 0.000, 0.000], [0.374, 0.374, 0.374], [0.374, 0.374, 0.878], [0.374, 0.878, 0.374], [0.878, 0.374, 0.374], [0.750, 0.750, 0.750]]}



(6)
{"formula": "LaSmGd2", "functional": "PBE-GGA", "state": "optimized geometry", "space_group": "No. 225", "polymorph_energy_mev_per_atom": 72.6, "ef_ev_per_atom": 0.0939, "cell": [[0.000, 4.089, 4.089], [4.089, 0.000, 4.089], [4.089, 4.089, 0.000]], "species": ["La", "Sm", "Gd", "Gd"], "fractional_positions": [[0.000, 0.000, 0.000], [0.500, 0.500, 0.500], [0.250, 0.250, 0.250], [0.750, 0.750, 0.750]]}